Ca2AuI: optimized geometry, PBE-GGA.

Values from the calculation:
Energy relative to the elements, uncorrected: -961 meV/atom
E above lowest polymorph: 3 meV/atom

```
data_Ca2AuI
_cell_length_a 4.3071
_cell_length_b 4.3071
_cell_length_c 24.0992
_cell_angle_alpha 90.00
_cell_angle_beta 90.00
_cell_angle_gamma 120.00
_space_group_name_H-M_alt 'R -3 m'
_space_group_IT_number 166
_space_group_name_Hall '-R 3 2"'
loop_
_atom_site_label
_atom_site_fract_x
_atom_site_fract_y
_atom_site_fract_z
_atom_site_occupancy
Ca1 0.0000 0.0000 0.2340 1
Au1 0.0000 0.0000 0.5000 1
I1 0.0000 0.0000 0.0000 1
```

***

Ac4CuPb: optimized geometry, PBE-GGA.

Values from the calculation:
Formation energy: -0.22 eV/f.u.

```
data_Ac4CuPb
_cell_length_a 7.688
_cell_length_b 7.688
_cell_length_c 8.008
_cell_angle_alpha 90.00
_cell_angle_beta 90.07
_cell_angle_gamma 90.00
_space_group_name_H-M_alt 'C 1 2 1'
_space_group_IT_number 5
loop_
_space_group_symop_operation_xyz
'x,y,z'
'-x,y,-z'
'x+1/2,y+1/2,z'
'-x+1/2,y+1/2,-z'
loop_
_atom_site_label
_atom_site_fract_x
_atom_site_fract_y
_atom_site_fract_z
_atom_site_occupancy
Ac1 0.249 0.000 0.227 1
Ac2 0.250 0.000 0.773 1
Cu1 0.000 0.251 0.000 1
Pb1 0.000 0.750 0.500 1
```

***

ReTeRh: optimized geometry, PBE-GGA.

Values from the calculation:
Energy relative to the elements, uncorrected: 624 meV/atom
E above lowest polymorph: 255 meV/atom

```
data_ReTeRh
_cell_length_a 3.090
_cell_length_b 4.022
_cell_length_c 8.238
_cell_angle_alpha 90.00
_cell_angle_beta 90.00
_cell_angle_gamma 90.00
_space_group_name_H-M_alt 'I m m 2'
_space_group_IT_number 44
loop_
_space_group_symop_operation_xyz
'x,y,z'
'-x,-y,z'
'-x,y,z'
'x,-y,z'
'x+1/2,y+1/2,z+1/2'
'-x+1/2,-y+1/2,z+1/2'
'-x+1/2,y+1/2,z+1/2'
'x+1/2,-y+1/2,z+1/2'
loop_
_atom_site_label
_atom_site_fract_x
_atom_site_fract_y
_atom_site_fract_z
_atom_site_occupancy
Re1 0.000 0.000 0.000 1
Te1 0.000 0.000 0.671 1
Rh1 0.000 0.000 0.350 1
```

***

MnFePt5: optimized geometry, PBE-GGA.

Values from the calculation:
Formation energy: -1.06 eV/f.u.

```
data_MnFePt5
_cell_length_a 3.916
_cell_length_b 3.916
_cell_length_c 7.218
_cell_angle_alpha 90.00
_cell_angle_beta 90.00
_cell_angle_gamma 90.00
_space_group_name_H-M_alt 'P 4/m m m'
_space_group_IT_number 123
_space_group_name_Hall '-P 4 2'
loop_
_atom_site_label
_atom_site_fract_x
_atom_site_fract_y
_atom_site_fract_z
_atom_site_occupancy
Mn1 0.000 0.000 0.000 1
Fe1 0.500 0.500 0.500 1
Pt1 0.000 0.500 0.275 1
Pt2 0.500 0.500 0.000 1
```

***

KZr2Pb: optimized geometry, PBE-GGA.

Values from the calculation:
Formation energy: 1.53 eV/f.u.
E above lowest polymorph: 280 meV/atom

```
data_KZr2Pb
_cell_length_a 3.238
_cell_length_b 5.672
_cell_length_c 12.286
_cell_angle_alpha 90.00
_cell_angle_beta 90.00
_cell_angle_gamma 90.00
_space_group_name_H-M_alt 'I m m m'
_space_group_IT_number 71
_space_group_name_Hall '-I 2 2'
loop_
_atom_site_label
_atom_site_fract_x
_atom_site_fract_y
_atom_site_fract_z
_atom_site_occupancy
K1 0.000 0.000 0.000 1
Zr1 0.000 0.500 0.217 1
Pb1 0.000 0.000 0.500 1
```

***

Ca3DyHo3Se8: optimized geometry, PBE-GGA.

Values from the calculation:
Energy relative to the elements, uncorrected: -1912 meV/atom

```
data_Ca3DyHo3Se8
_cell_length_a 8.1741
_cell_length_b 8.1741
_cell_length_c 20.4767
_cell_angle_alpha 90.00
_cell_angle_beta 90.00
_cell_angle_gamma 120.00
_space_group_name_H-M_alt 'R -3 m'
_space_group_IT_number 166
_space_group_name_Hall '-R 3 2"'
loop_
_atom_site_label
_atom_site_fract_x
_atom_site_fract_y
_atom_site_fract_z
_atom_site_occupancy
Ca1 0.0000 0.5000 0.0000 1
Dy1 0.0000 0.0000 0.5000 1
Ho1 0.0000 0.5000 0.5000 1
Se1 0.0000 0.0000 0.2478 1
Se2 0.0022 0.5011 0.7529 1
```

***

Ba2TlP: optimized geometry, PBE-GGA.

Values from the calculation:
Formation energy: -0.33 eV/f.u.
E above lowest polymorph: 546 meV/atom

```
data_Ba2TlP
_cell_length_a 8.100
_cell_length_b 8.100
_cell_length_c 8.100
_cell_angle_alpha 90.00
_cell_angle_beta 90.00
_cell_angle_gamma 90.00
_space_group_name_H-M_alt 'F -4 3 m'
_space_group_IT_number 216
_space_group_name_Hall 'F -4 2 3'
loop_
_atom_site_label
_atom_site_fract_x
_atom_site_fract_y
_atom_site_fract_z
_atom_site_occupancy
Ba1 0.000 0.000 0.000 1
Ba2 0.250 0.250 0.250 1
Tl1 0.250 0.250 0.750 1
P1 0.000 0.000 0.500 1
```

***

Pr3Y3Tm4: optimized geometry, PBE-GGA.

Values from the calculation:
Formation energy: 0.82 eV/f.u.

```
data_Pr3Y3Tm4
_cell_length_a 3.681
_cell_length_b 13.358
_cell_length_c 13.438
_cell_angle_alpha 90.00
_cell_angle_beta 90.00
_cell_angle_gamma 90.00
_space_group_name_H-M_alt 'A m m 2'
_space_group_IT_number 38
loop_
_space_group_symop_operation_xyz
'x,y,z'
'-x,-y,z'
'-x,y,z'
'x,-y,z'
'x,y+1/2,z+1/2'
'-x,-y+1/2,z+1/2'
'-x,y+1/2,z+1/2'
'x,-y+1/2,z+1/2'
loop_
_atom_site_label
_atom_site_fract_x
_atom_site_fract_y
_atom_site_fract_z
_atom_site_occupancy
Pr1 0.000 0.000 0.000 1
Pr2 0.000 0.174 0.673 1
Y1 0.000 0.000 0.348 1
Y2 0.500 0.246 0.422 1
Tm1 0.500 0.000 0.548 1
Tm2 0.500 0.000 0.798 1
Tm3 0.500 0.123 0.175 1
```

***

CaSmIrAu: optimized geometry, PBE-GGA.

Values from the calculation:
Formation energy: -2.50 eV/f.u.

```
data_CaSmIrAu
_cell_length_a 7.093
_cell_length_b 7.093
_cell_length_c 7.093
_cell_angle_alpha 90.00
_cell_angle_beta 90.00
_cell_angle_gamma 90.00
_space_group_name_H-M_alt 'F -4 3 m'
_space_group_IT_number 216
_space_group_name_Hall 'F -4 2 3'
loop_
_atom_site_label
_atom_site_fract_x
_atom_site_fract_y
_atom_site_fract_z
_atom_site_occupancy
Ca1 0.000 0.000 0.000 1
Sm1 0.000 0.000 0.500 1
Ir1 0.250 0.250 0.750 1
Au1 0.250 0.250 0.250 1
```

***

Mn2PS: optimized geometry, PBE-GGA.

Values from the calculation:
Energy relative to the elements, uncorrected: -95 meV/atom
E above lowest polymorph: 0 meV/atom

```
data_Mn2PS
_cell_length_a 5.606
_cell_length_b 5.606
_cell_length_c 5.606
_cell_angle_alpha 90.00
_cell_angle_beta 90.00
_cell_angle_gamma 90.00
_space_group_name_H-M_alt 'F m -3 m'
_space_group_IT_number 225
_space_group_name_Hall '-F 4 2 3'
loop_
_atom_site_label
_atom_site_fract_x
_atom_site_fract_y
_atom_site_fract_z
_atom_site_occupancy
Mn1 0.250 0.250 0.250 1
P1 0.000 0.000 0.000 1
S1 0.000 0.000 0.500 1
```

***

TaBeTe2: optimized geometry, PBE-GGA.

Values from the calculation:
Energy relative to the elements, uncorrected: 343 meV/atom

```
data_TaBeTe2
_cell_length_a 3.632
_cell_length_b 4.880
_cell_length_c 8.831
_cell_angle_alpha 90.00
_cell_angle_beta 90.00
_cell_angle_gamma 90.00
_space_group_name_H-M_alt 'I m m m'
_space_group_IT_number 71
_space_group_name_Hall '-I 2 2'
loop_
_atom_site_label
_atom_site_fract_x
_atom_site_fract_y
_atom_site_fract_z
_atom_site_occupancy
Ta1 0.000 0.000 0.000 1
Be1 0.000 0.000 0.500 1
Te1 0.000 0.500 0.190 1
```

***

ZrPb2W: optimized geometry, PBE-GGA.

Values from the calculation:
Formation energy: 3.00 eV/f.u.
E above lowest polymorph: 403 meV/atom

```
data_ZrPb2W
_cell_length_a 7.176
_cell_length_b 7.176
_cell_length_c 7.176
_cell_angle_alpha 90.00
_cell_angle_beta 90.00
_cell_angle_gamma 90.00
_space_group_name_H-M_alt 'F -4 3 m'
_space_group_IT_number 216
_space_group_name_Hall 'F -4 2 3'
loop_
_atom_site_label
_atom_site_fract_x
_atom_site_fract_y
_atom_site_fract_z
_atom_site_occupancy
Zr1 0.000 0.000 0.000 1
Pb1 0.000 0.000 0.500 1
Pb2 0.250 0.250 0.750 1
W1 0.250 0.250 0.250 1
```